# 1
A plane-wave DFT calculation with PBE-GGA was carried out for a relaxed LuCoGe crystal.

abc: 4.1143 4.1143 3.5580
angles: 90.00 90.00 120.00
Fractional coordinates of all 3 atoms:
Lu 0.0000 0.0000 0.0000
Co 0.3333 0.6667 0.5000
Ge 0.6667 0.3333 0.5000

Summary:
Formation enthalpy at 0 K (meV/atom): -587
Space group: P-6m2
Magnetization (Bohr magnetons per cell): 0.1
Crystal system: hexagonal

***

# 2
A plane-wave DFT calculation with PBE-GGA was carried out for a relaxed LuCoGe2 crystal.

abc: 3.9967 3.9967 14.7354
angles: 90.00 90.00 120.00
Fractional coordinates of all 12 atoms:
Lu 0.0000 0.0000 0.0000
Lu 0.3333 0.6667 0.6667
Lu 0.6667 0.3333 0.3333
Co 0.0000 0.0000 0.5000
Co 0.3333 0.6667 0.1667
Co 0.6667 0.3333 0.8333
Ge 0.0000 0.0000 0.2191
Ge 0.0000 0.0000 0.7809
Ge 0.3333 0.6667 0.4476
Ge 0.3333 0.6667 0.8857
Ge 0.6667 0.3333 0.1143
Ge 0.6667 0.3333 0.5524

Summary:
Formation enthalpy at 0 K (meV/atom): -533
Space group: R-3m
Magnetization (Bohr magnetons per cell): 0.0
Crystal system: trigonal

***

# 3
A plane-wave DFT calculation with PBE-GGA was carried out for a relaxed LuCo6Ge6 crystal.

abc: 5.0713 5.0713 7.8261
angles: 90.00 90.00 120.00
Fractional coordinates of all 13 atoms:
Lu 0.0000 0.0000 0.0000
Co 0.0000 0.5000 0.2503
Co 0.0000 0.5000 0.7497
Co 0.5000 0.0000 0.2503
Co 0.5000 0.0000 0.7497
Co 0.5000 0.5000 0.2503
Co 0.5000 0.5000 0.7497
Ge 0.0000 0.0000 0.3436
Ge 0.0000 0.0000 0.6564
Ge 0.3333 0.6667 0.0000
Ge 0.3333 0.6667 0.5000
Ge 0.6667 0.3333 0.0000
Ge 0.6667 0.3333 0.5000

Summary:
Formation enthalpy at 0 K (meV/atom): -356
Space group: P6/mmm
Magnetization (Bohr magnetons per cell): 0.0
Crystal system: hexagonal